A plane-wave DFT calculation with GGA+U was carried out for a relaxed structure of Na4Tb3FeO8.

Computed properties:
Its density of states at the Fermi level is 0.000 states/eV per atom. Its final energy is -103.40 eV for the cell shown.

```
Na4Tb3FeO8
1.0
6.715 0.000 0.000
0.000 6.783 0.041
-3.358 -3.354 4.751
O Na Tb Fe
8 4 3 1
direct
0.773 0.292 0.018
0.227 0.708 0.982
0.245 0.292 0.018
0.773 0.291 0.546
0.755 0.708 0.982
0.738 0.714 0.476
0.227 0.709 0.454
0.262 0.286 0.524
0.000 0.000 0.000
0.500 0.000 0.500
0.500 0.000 0.000
0.000 0.000 0.500
0.500 0.500 0.000
0.500 0.500 0.500
0.000 0.500 0.500
0.000 0.500 0.000
```